(1)
The following is a DFT calculation (PBE-GGA) of a relaxed structure of Sc6Cu5Pb.

a b c (Å): 4.6744 6.7795 7.3887
angles (deg): 90.00 108.14 90.00
Closest atoms and distances in Å follow each position.
Sites, in units of the cell vectors:
Sc  0.0000  0.2298  0.0000  6 Cu 2.78-3.01, 2 Pb 2.97
Sc  0.0000  0.7702  0.0000  6 Cu 2.78-3.01, 2 Pb 2.97
Sc  0.3253  0.2378  0.6522  7 Cu 2.79-2.94, 1 Pb 3.02
Sc  0.3253  0.7622  0.6522  7 Cu 2.79-2.94, 1 Pb 3.02
Sc  0.6747  0.2378  0.3478  7 Cu 2.79-2.94, 1 Pb 3.02
Sc  0.6747  0.7622  0.3478  7 Cu 2.79-2.94, 1 Pb 3.02
Cu  0.1662  0.0000  0.3271  8 Sc 2.78-2.85
Cu  0.1716  0.5000  0.3396  8 Sc 2.82-3.01
Cu  0.5000  0.0000  0.0000  8 Sc 2.81-2.93
Cu  0.8284  0.5000  0.6604  8 Sc 2.82-3.01
Cu  0.8338  0.0000  0.6729  8 Sc 2.78-2.85
Pb  0.5000  0.5000  0.0000  8 Sc 2.97-3.02, 2 Cu 3.32

Calculated values
Size of the total moment   0.00 μB per formula unit
Space group   P2/m (10)
Raw total energy   -5.453 eV/atom
Mass density   5.93 g cm⁻³

(2)
The following is a DFT calculation (PBE-GGA) of a relaxed structure of ScCuPb.

a b c (Å): 4.5604 4.5604 3.4084
angles (deg): 90.00 90.00 120.00
Closest atoms and distances in Å follow each position.
Sites, in units of the cell vectors:
Sc  0.0000  0.0000  0.0000  6 Cu 3.13-3.14, 6 Pb 3.14, 2 Sc 3.41
Cu  0.6667  0.3333  0.4964  3 Pb 2.63
Pb  0.3333  0.6667  0.5005  3 Cu 2.63

Calculated values
Size of the total moment   0.00 μB per formula unit
Space group   P3m1 (156)
Raw total energy   -4.902 eV/atom
Mass density   8.54 g cm⁻³

(3)
The following is a DFT calculation (PBE-GGA) of a relaxed structure of ScCuPb.

a b c (Å): 3.4529 4.2087 8.6976
angles (deg): 90.00 96.04 90.00
Closest atoms and distances in Å follow each position.
Sites, in units of the cell vectors:
Sc  0.0000  0.0000  0.0000  6 Cu 2.79-2.86
Sc  0.1415  0.0000  0.4065  1 Cu 3.01, 6 Pb 3.11-3.24
Cu  0.4408  0.0000  0.7446  2 Cu 2.50, 1 Sc 2.79
Cu  0.4762  0.5000  0.9005  2 Cu 2.50, 1 Pb 2.73
Pb  0.5604  0.5000  0.2160  1 Cu 2.73
Pb  0.8830  0.5000  0.6381  6 Cu 2.80-2.94, 2 Sc 3.11

Calculated values
Size of the total moment   0.19 μB per formula unit
Space group   Pm (6)
Raw total energy   -4.877 eV/atom
Mass density   8.34 g cm⁻³

(4)
The following is a DFT calculation (PBE-GGA) of a relaxed structure of ScCuPb3.

a b c (Å): 5.2363 5.2363 5.2363
angles (deg): 90.00 90.00 90.00
Closest atoms and distances in Å follow each position.
Sites, in units of the cell vectors:
Sc  0.0000  0.0000  0.0000  12 Pb 3.70
Cu  0.5000  0.5000  0.5000  6 Pb 2.62
Pb  0.0000  0.5000  0.5000  2 Cu 2.62
Pb  0.5000  0.0000  0.5000  2 Cu 2.62
Pb  0.5000  0.5000  0.0000  2 Cu 2.62

Calculated values
Size of the total moment   0.00 μB per formula unit
Space group   Pm-3m (221)
Raw total energy   -4.003 eV/atom
Mass density   8.44 g cm⁻³